1.
An optimized crystal structure of Ac2TcHO6. Source: Alexandria via LeMat-Bulk, functional PBE-GGA.

```
data_Ac2TcHO6
_symmetry_space_group_name_H-M 'P 1'
_symmetry_Int_Tables_number 1
_cell_length_a 5.247
_cell_length_b 5.825
_cell_length_c 6.010
_cell_angle_alpha 63.19
_cell_angle_beta 65.50
_cell_angle_gamma 64.06
loop_
_symmetry_equiv_pos_as_xyz
'x,y,z'
loop_
_atom_site_label
_atom_site_fract_x
_atom_site_fract_y
_atom_site_fract_z
_atom_site_occupancy
Ac1 0.000 0.000 0.000 1
Ac2 0.475 0.564 0.506 1
Tc1 0.238 0.279 0.245 1
H1 0.838 0.588 0.915 1
O1 0.020 0.594 0.384 1
O2 0.039 0.571 0.902 1
O3 0.368 0.062 0.543 1
O4 0.454 0.958 0.105 1
O5 0.538 0.435 0.976 1
O6 0.889 0.192 0.355 1
```

Output
Electronic total energy   -75.1 eV for the cell shown
Crystal system   triclinic

=====

2.
An optimized crystal structure of Cs2K9Hg4. Source: Alexandria via LeMat-Bulk, functional PBE-GGA.

```
data_Cs2K9Hg4
_symmetry_space_group_name_H-M 'P -3 m 1'
_symmetry_Int_Tables_number 164
_symmetry_space_group_name_Hall '-P 3 2"'
_cell_length_a 6.2347
_cell_length_b 6.2347
_cell_length_c 25.1655
_cell_angle_alpha 90.00
_cell_angle_beta 90.00
_cell_angle_gamma 120.00
loop_
_atom_site_label
_atom_site_fract_x
_atom_site_fract_y
_atom_site_fract_z
_atom_site_occupancy
Cs1 0.3333 0.6667 0.2800 1
K1 0.0000 0.0000 0.0000 1
K2 0.0000 0.0000 0.1636 1
K3 0.0000 0.0000 0.3907 1
K4 0.3333 0.6667 0.0679 1
K5 0.3333 0.6667 0.4644 1
Hg1 0.3333 0.6667 0.6128 1
Hg2 0.3333 0.6667 0.9065 1
```

Output
Fermi-level density of states   8.7 states/eV/f.u.
Crystal system   trigonal
Energy relative to the elements   -0.094 eV/atom

=====

3.
An optimized crystal structure of Rb2BaCl6F. Source: Alexandria via LeMat-Bulk, functional PBE-GGA.

```
data_Rb2BaCl6F
_symmetry_space_group_name_H-M 'I 4/m m m'
_symmetry_Int_Tables_number 139
_symmetry_space_group_name_Hall '-I 4 2'
_cell_length_a 8.577
_cell_length_b 8.577
_cell_length_c 9.094
_cell_angle_alpha 90.00
_cell_angle_beta 90.00
_cell_angle_gamma 90.00
loop_
_atom_site_label
_atom_site_fract_x
_atom_site_fract_y
_atom_site_fract_z
_atom_site_occupancy
Rb1 0.000 0.500 0.250 1
Ba1 0.000 0.000 0.000 1
Cl1 0.000 0.000 0.293 1
Cl2 0.243 0.243 0.000 1
F1 0.000 0.000 0.500 1
```

Output
Fermi-level density of states   14.0 states/eV/f.u.
Raw formation energy   -1242 meV/atom
Crystal system   tetragonal

=====

4.
An optimized crystal structure of Y2TaSb. Source: Alexandria via LeMat-Bulk, functional PBE-GGA.

```
data_Y2TaSb
_symmetry_space_group_name_H-M 'A m m 2'
_symmetry_Int_Tables_number 38
_cell_length_a 4.557
_cell_length_b 4.032
_cell_length_c 11.434
_cell_angle_alpha 90.00
_cell_angle_beta 90.00
_cell_angle_gamma 90.00
loop_
_symmetry_equiv_pos_as_xyz
'x,y,z'
'-x,-y,z'
'-x,y,z'
'x,-y,z'
'x,y+1/2,z+1/2'
'-x,-y+1/2,z+1/2'
'-x,y+1/2,z+1/2'
'x,-y+1/2,z+1/2'
loop_
_atom_site_label
_atom_site_fract_x
_atom_site_fract_y
_atom_site_fract_z
_atom_site_occupancy
Y1 0.000 0.000 0.000 1
Y2 0.500 0.000 0.294 1
Ta1 0.000 0.000 0.725 1
Sb1 0.500 0.000 0.576 1
```

Output
Fermi-level density of states   3.7 states/eV/f.u.
Raw formation energy   -198 meV/atom
Crystal system   orthorhombic

=====

5.
An optimized crystal structure of Hf3Ni5. Source: Alexandria via LeMat-Bulk, functional PBE-GGA.

```
data_Hf3Ni5
_symmetry_space_group_name_H-M 'C m c m'
_symmetry_Int_Tables_number 63
_symmetry_space_group_name_Hall '-C 2c 2'
_cell_length_a 8.266
_cell_length_b 6.386
_cell_length_c 8.897
_cell_angle_alpha 90.00
_cell_angle_beta 90.00
_cell_angle_gamma 90.00
loop_
_atom_site_label
_atom_site_fract_x
_atom_site_fract_y
_atom_site_fract_z
_atom_site_occupancy
Hf1 0.000 0.141 0.250 1
Hf2 0.202 0.500 0.000 1
Ni1 0.000 0.178 0.554 1
Ni2 0.000 0.458 0.750 1
Ni3 0.217 0.206 0.750 1
```

Output
Fermi-level density of states   5.9 states/eV/f.u.
Crystal system   orthorhombic
Energy relative to the elements   -0.493 eV/atom

=====

6.
An optimized crystal structure of Ca2NdSm. Source: Alexandria via LeMat-Bulk, functional PBE-GGA.

```
data_Ca2NdSm
_symmetry_space_group_name_H-M 'P 4/m m m'
_symmetry_Int_Tables_number 123
_symmetry_space_group_name_Hall '-P 4 2'
_cell_length_a 4.202
_cell_length_b 4.202
_cell_length_c 8.413
_cell_angle_alpha 90.00
_cell_angle_beta 90.00
_cell_angle_gamma 90.00
loop_
_atom_site_label
_atom_site_fract_x
_atom_site_fract_y
_atom_site_fract_z
_atom_site_occupancy
Ca1 0.000 0.000 0.248 1
Nd1 0.500 0.500 0.500 1
Sm1 0.500 0.500 0.000 1
```

Output
Fermi-level density of states   5.9 states/eV/f.u.
Crystal system   tetragonal
Energy relative to the elements   0.130 eV/atom
Offset from the most stable computed form   0.36 eV/f.u.

=====

7.
An optimized crystal structure of PmHf2Cl8. Source: Alexandria via LeMat-Bulk, functional PBE-GGA.

```
data_PmHf2Cl8
_symmetry_space_group_name_H-M 'C 1 2/m 1'
_symmetry_Int_Tables_number 12
_cell_length_a 12.052
_cell_length_b 10.791
_cell_length_c 6.248
_cell_angle_alpha 90.00
_cell_angle_beta 97.35
_cell_angle_gamma 90.00
loop_
_symmetry_equiv_pos_as_xyz
'x,y,z'
'-x,-y,-z'
'-x,y,-z'
'x,-y,z'
'x+1/2,y+1/2,z'
'-x+1/2,-y+1/2,-z'
'-x+1/2,y+1/2,-z'
'x+1/2,-y+1/2,z'
loop_
_atom_site_label
_atom_site_fract_x
_atom_site_fract_y
_atom_site_fract_z
_atom_site_occupancy
Pm1 0.000 0.000 0.000 1
Hf1 0.188 0.000 0.379 1
Cl1 0.110 0.197 0.260 1
Cl2 0.134 0.500 0.728 1
Cl3 0.188 0.000 0.765 1
```

Output
Fermi-level density of states   3.0 states/eV/f.u.
Raw formation energy   -1610 meV/atom
Crystal system   monoclinic

=====

8.
An optimized crystal structure of CaCePdPt. Source: Alexandria via LeMat-Bulk, functional PBE-GGA.

```
data_CaCePdPt
_symmetry_space_group_name_H-M 'F -4 3 m'
_symmetry_Int_Tables_number 216
_symmetry_space_group_name_Hall 'F -4 2 3'
_cell_length_a 7.087
_cell_length_b 7.087
_cell_length_c 7.087
_cell_angle_alpha 90.00
_cell_angle_beta 90.00
_cell_angle_gamma 90.00
loop_
_atom_site_label
_atom_site_fract_x
_atom_site_fract_y
_atom_site_fract_z
_atom_site_occupancy
Ca1 0.000 0.000 0.000 1
Ce1 0.000 0.000 0.500 1
Pd1 0.250 0.250 0.750 1
Pt1 0.250 0.250 0.250 1
```

Output
Fermi-level density of states   7.6 states/eV/f.u.
Crystal system   cubic
Energy relative to the elements   -0.819 eV/atom
Offset from the most stable computed form   0.22 eV/f.u.

=====

9.
An optimized crystal structure of Ti3Te3P. Source: Alexandria via LeMat-Bulk, functional PBE-GGA.

```
data_Ti3Te3P
_symmetry_space_group_name_H-M 'I 41 3 2'
_symmetry_Int_Tables_number 214
_symmetry_space_group_name_Hall 'I 4bd 2c 3'
_cell_length_a 10.690
_cell_length_b 10.690
_cell_length_c 10.690
_cell_angle_alpha 90.00
_cell_angle_beta 90.00
_cell_angle_gamma 90.00
loop_
_atom_site_label
_atom_site_fract_x
_atom_site_fract_y
_atom_site_fract_z
_atom_site_occupancy
Ti1 0.104 0.354 0.125 1
Te1 0.119 0.131 0.625 1
P1 0.125 0.125 0.125 1
```

Output
Fermi-level density of states   2.3 states/eV/f.u.
Raw formation energy   -848 meV/atom
Crystal system   cubic

=====

10.
An optimized crystal structure of Pm3Nd6Cd. Source: Alexandria via LeMat-Bulk, functional PBE-GGA.

```
data_Pm3Nd6Cd
_symmetry_space_group_name_H-M 'P 1 21/m 1'
_symmetry_Int_Tables_number 11
_cell_length_a 11.205
_cell_length_b 5.200
_cell_length_c 11.549
_cell_angle_alpha 90.00
_cell_angle_beta 92.30
_cell_angle_gamma 90.00
loop_
_symmetry_equiv_pos_as_xyz
'x,y,z'
'-x,-y,-z'
'-x,y+1/2,-z'
'x,-y+1/2,z'
loop_
_atom_site_label
_atom_site_fract_x
_atom_site_fract_y
_atom_site_fract_z
_atom_site_occupancy
Pm1 0.051 0.250 0.403 1
Pm2 0.155 0.750 0.210 1
Pm3 0.254 0.250 0.012 1
Nd1 0.050 0.750 0.899 1
Nd2 0.156 0.250 0.703 1
Nd3 0.269 0.750 0.509 1
Nd4 0.346 0.750 0.816 1
Nd5 0.366 0.250 0.319 1
Nd6 0.455 0.750 0.110 1
Cd1 0.445 0.250 0.610 1
```

Output
Fermi-level density of states   15.0 states/eV/f.u.
Crystal system   monoclinic
Energy relative to the elements   -0.023 eV/atom
Offset from the most stable computed form   0.00 eV/f.u.

=====

Number 5 is which compound?
Hf3Ni5